# Mg2InSe

Mg2InSe after structural relaxation (PBE-GGA, Alexandria via LeMat-Bulk).

Output
**Electronic total energy**: -2.718 eV per atom
**Offset from the most stable computed form**: 193.7 meV/atom
**Uncorrected formation energy**: -0.365 eV per atom
**Total magnetic moment**: 0.00 μB per formula unit
**Volume**: 94.5 Å³/f.u.

Structure (CIF):
```
data_Mg2InSe
_chemical_formula_sum 'Mg4 In2 Se2'
_space_group_name_H-M_alt 'I m m 2'
_space_group_IT_number 44
_cell_length_a 3.720
_cell_length_b 4.320
_cell_length_c 11.757
_cell_angle_alpha 90.00
_cell_angle_beta 90.00
_cell_angle_gamma 90.00
loop_
_space_group_symop_operation_xyz
'x,y,z'
'-x,-y,z'
'-x,y,z'
'x,-y,z'
'x+1/2,y+1/2,z+1/2'
'-x+1/2,-y+1/2,z+1/2'
'-x+1/2,y+1/2,z+1/2'
'x+1/2,-y+1/2,z+1/2'
loop_
_atom_site_label
_atom_site_fract_x
_atom_site_fract_y
_atom_site_fract_z
Mg1 0.000 0.000 0.000
Mg2 0.000 0.500 0.232
In1 0.000 0.000 0.423
Se1 0.000 0.500 0.676
```

=====

# CaTaRh2

CaTaRh2 after structural relaxation (PBE-GGA, Alexandria via LeMat-Bulk).

Output
**Electronic total energy**: -7.435 eV per atom
**Total magnetic moment**: 0.00 μB per formula unit
**Volume**: 69.5 Å³/f.u.
**E_form**: -0.296 eV per atom

Structure (CIF):
```
data_CaTaRh2
_chemical_formula_sum 'Ca2 Ta2 Rh4'
_space_group_name_H-M_alt 'C m m m'
_space_group_IT_number 65
_space_group_name_Hall '-C 2 2'
_cell_length_a 6.687
_cell_length_b 6.892
_cell_length_c 3.017
_cell_angle_alpha 90.00
_cell_angle_beta 90.00
_cell_angle_gamma 90.00
loop_
_atom_site_label
_atom_site_fract_x
_atom_site_fract_y
_atom_site_fract_z
Ca1 0.000 0.000 0.000
Ta1 0.000 0.500 0.000
Rh1 0.250 0.250 0.500
```

=====

# CaSi2W

CaSi2W after structural relaxation (PBE-GGA, Alexandria via LeMat-Bulk).

Output
**Electronic total energy**: -6.416 eV per atom
**Offset from the most stable computed form**: 180.6 meV/atom
**Uncorrected formation energy**: 0.034 eV per atom
**Total magnetic moment**: 0.00 μB per formula unit
**Volume**: 77.0 Å³/f.u.

Structure (CIF):
```
data_CaSi2W
_chemical_formula_sum 'Ca3 Si6 W3'
_space_group_name_H-M_alt 'R -3 m'
_space_group_IT_number 166
_space_group_name_Hall '-R 3 2"'
_cell_length_a 3.4128
_cell_length_b 3.4128
_cell_length_c 22.9046
_cell_angle_alpha 90.00
_cell_angle_beta 90.00
_cell_angle_gamma 120.00
loop_
_atom_site_label
_atom_site_fract_x
_atom_site_fract_y
_atom_site_fract_z
Ca1 0.0000 0.0000 0.0000
Si1 0.0000 0.0000 0.2372
W1 0.0000 0.0000 0.5000
```